1.
The following is a PBE calculation of an optimized crystal structure of Rb12I3Br5, from the Alexandria database.

The structure belongs to space group Ia-3d (No. 230); the cell edges are 21.440, 21.440 and 21.440 Å and the angles 90.00°, 90.00° and 90.00°. The asymmetric unit holds Rb at (0.025, 0.063, 0.651), I at (0.000, 0.250, 0.125), Br at (0.000, 0.000, 0.000) and Br at (0.000, 0.250, 0.375).

As for the calculated total energy: -2.407 eV/atom.



2.
The following is a PBE calculation of an optimized crystal structure of Rb5IBr4, from the Alexandria database.

The structure belongs to space group I4/mmm (No. 139); the cell edges are 5.023, 5.023 and 35.403 Å and the angles 90.00°, 90.00° and 90.00°. The asymmetric unit holds Rb at (0.000, 0.000, 0.000), Rb at (0.000, 0.000, 0.201), Rb at (0.000, 0.000, 0.395), I at (0.000, 0.000, 0.500), Br at (0.000, 0.000, 0.100) and Br at (0.000, 0.000, 0.299).

Its energy relative to the lowest polymorph listed for this composition is 4 meV/atom. As for the calculated total energy: -3.000 eV/atom.



3.
The following is a PBE calculation of an optimized crystal structure of Rb12I5Br3, from the Alexandria database.

The structure belongs to space group Ia-3d (No. 230); the cell edges are 21.696, 21.696 and 21.696 Å and the angles 90.00°, 90.00° and 90.00°. The asymmetric unit holds Rb at (0.021, 0.082, 0.650), I at (0.000, 0.000, 0.000), I at (0.000, 0.250, 0.375) and Br at (0.000, 0.250, 0.125).

As for the calculated total energy: -2.305 eV/atom.



4.
The following is a PBE calculation of an optimized crystal structure of Rb5I4Br, from the Alexandria database.

The structure belongs to space group Immm (No. 71); the cell edges are 5.168, 7.393 and 26.281 Å and the angles 90.00°, 90.00° and 90.00°. The asymmetric unit holds Rb at (0.000, 0.000, 0.000), Rb at (0.000, 0.000, 0.201), Rb at (0.000, 0.000, 0.407), I at (0.000, 0.500, 0.197), I at (0.000, 0.500, 0.400) and Br at (0.000, 0.500, 0.000).

As for the calculated total energy: -2.816 eV/atom.



5.
The following is a PBE calculation of an optimized crystal structure of Rb2IBr, from the Alexandria database.

The structure belongs to space group R-3m (No. 166, hexagonal axes); the cell edges are 5.0935, 5.0935 and 25.2869 Å and the angles 90.00°, 90.00° and 120.00°. The asymmetric unit holds Rb at (0.0000, 0.0000, 0.2444), I at (0.0000, 0.0000, 0.0000) and Br at (0.0000, 0.0000, 0.5000).

Its energy relative to the lowest polymorph listed for this composition is 0 meV/atom. As for the calculated total energy: -2.909 eV/atom.



6.
The following is a PBE calculation of an optimized crystal structure of RbI2Br2, from the Alexandria database.

The structure belongs to space group I4/mmm (No. 139); the cell edges are 6.349, 6.349 and 11.405 Å and the angles 90.00°, 90.00° and 90.00°. The asymmetric unit holds Rb at (0.000, 0.000, 0.000), I at (0.000, 0.000, 0.381) and Br at (0.000, 0.500, 0.250).

Its energy relative to the lowest polymorph listed for this composition is 288 meV/atom. As for the calculated total energy: -1.847 eV/atom.



7.
The following is a PBE calculation of an optimized crystal structure of Rb2IBr, from the Alexandria database.

The structure belongs to space group Pmmn (No. 59, origin choice 2); the cell edges are 5.039, 7.278 and 10.371 Å and the angles 90.00°, 90.00° and 90.00°. The asymmetric unit holds Rb at (0.250, 0.250, 0.113), Rb at (0.250, 0.250, 0.642), I at (0.250, 0.750, 0.625) and Br at (0.250, 0.750, 0.120).

Its energy relative to the lowest polymorph listed for this composition is 1 meV/atom. As for the calculated total energy: -2.908 eV/atom.



8.
The following is a PBE calculation of an optimized crystal structure of RbI2Br2, from the Alexandria database.

The structure belongs to space group P-3m1 (No. 164); the cell edges are 4.9344, 4.9344 and 11.7677 Å and the angles 90.00°, 90.00° and 120.00°. The asymmetric unit holds Rb at (0.0000, 0.0000, 0.0000), I at (0.3333, 0.6667, 0.3981) and Br at (0.3333, 0.6667, 0.1583).

Its energy relative to the lowest polymorph listed for this composition is 200 meV/atom. As for the calculated total energy: -1.935 eV/atom.